(1)
Computed, not measured: an optimized crystal structure of CaPrSb2 at the PBE-GGA level of DFT.

**SG**: R-3m
**Energy**: -4.694 eV per atom
**Spin magnetization**: 0.0 μB per formula unit

Cell: 8.1143 8.1143 8.1143 Å, 32.01 32.01 32.01°
Closest atoms and distances in Å follow each position.
Sites, in units of the cell vectors:
Ca: 0.0000 0.0000 0.0000  6 Sb 3.23
Pr: 0.5000 0.5000 0.5000  6 Sb 3.21
Sb: 0.2495 0.2495 0.2495  3 Pr 3.21, 3 Ca 3.23
Sb: 0.7505 0.7505 0.7505  3 Pr 3.21, 3 Ca 3.23

(2)
Computed, not measured: an optimized crystal structure of Tm6CuBi2 at the PBE-GGA level of DFT.

**SG**: P2_1/c
**Energy**: -4.639 eV per atom
**Spin magnetization**: 0.0 μB per formula unit

Cell: 6.3637 7.8888 11.8747 Å, 90.00 122.01 90.00°
Closest atoms and distances in Å follow each position.
Sites, in units of the cell vectors:
Tm: 0.0896 0.2016 0.4614  1 Cu 2.88, 2 Bi 3.13-3.22
Tm: 0.0896 0.2984 0.9614  1 Cu 2.88, 2 Bi 3.13-3.22
Tm: 0.3320 0.6714 0.4619  1 Cu 2.75
Tm: 0.3320 0.8286 0.9619  1 Cu 2.75
Tm: 0.3842 0.0270 0.2440  1 Cu 2.73
Tm: 0.3842 0.4730 0.7440  1 Cu 2.73
Tm: 0.6158 0.5270 0.2560  1 Cu 2.73
Tm: 0.6158 0.9730 0.7560  1 Cu 2.73
Tm: 0.6680 0.1714 0.0381  1 Cu 2.75
Tm: 0.6680 0.3286 0.5381  1 Cu 2.75
Tm: 0.9104 0.7016 0.0386  1 Cu 2.88, 2 Bi 3.13-3.22
Tm: 0.9104 0.7984 0.5386  1 Cu 2.88, 2 Bi 3.13-3.22
Cu: 0.5000 0.0000 0.5000  6 Tm 2.73-2.88
Cu: 0.5000 0.5000 0.0000  6 Tm 2.73-2.88
Bi: 0.1332 0.1139 0.7410  8 Tm 3.13-3.39
Bi: 0.1332 0.3861 0.2410  8 Tm 3.13-3.39
Bi: 0.8668 0.6139 0.7590  8 Tm 3.13-3.39
Bi: 0.8668 0.8861 0.2590  8 Tm 3.13-3.39

(3)
Computed, not measured: an optimized crystal structure of NaGaCuF6 at the PBE-GGA level of DFT.

**SG**: P-31c
**Energy**: -4.490 eV per atom
**Spin magnetization**: 1.0 μB per formula unit

Cell: 5.2630 5.2630 9.8343 Å, 90.00 90.00 120.00°
Closest atoms and distances in Å follow each position.
Sites, in units of the cell vectors:
Na: 0.0000 0.0000 0.0000  6 F 2.37
Na: 0.0000 0.0000 0.5000  6 F 2.37
Ga: 0.3333 0.6667 0.2500  6 F 1.93
Ga: 0.6667 0.3333 0.7500  6 F 1.93
Cu: 0.3333 0.6667 0.7500  6 F 2.05
Cu: 0.6667 0.3333 0.2500  6 F 2.05
F: 0.0178 0.3726 0.1415  1 Ga 1.93, 1 Cu 2.05
F: 0.0178 0.6452 0.3585  1 Ga 1.93, 1 Cu 2.05
F: 0.3548 0.3726 0.3585  1 Ga 1.93, 1 Cu 2.05
F: 0.3548 0.9822 0.1415  1 Ga 1.93, 1 Cu 2.05
F: 0.3726 0.0178 0.6415  1 Ga 1.93, 1 Cu 2.05
F: 0.3726 0.3548 0.8585  1 Ga 1.93, 1 Cu 2.05
F: 0.6274 0.6452 0.1415  1 Ga 1.93, 1 Cu 2.05
F: 0.6274 0.9822 0.3585  1 Ga 1.93, 1 Cu 2.05
F: 0.6452 0.0178 0.8585  1 Ga 1.93, 1 Cu 2.05
F: 0.6452 0.6274 0.6415  1 Ga 1.93, 1 Cu 2.05
F: 0.9822 0.3548 0.6415  1 Ga 1.93, 1 Cu 2.05
F: 0.9822 0.6274 0.8585  1 Ga 1.93, 1 Cu 2.05